Record 1
Compound: Cs3AuI6
Source: Alexandria
Functional: PBE
Structure: relaxed

formation energy without anion corrections = -830 kJ/mol of formula units

```
Cs3AuI6
1.0
-1.373 -9.636 -0.712
6.465 -1.268 -7.200
7.409 -2.371 5.894
I Au Cs
12 2 6
Direct
0.515 0.196 0.518
0.800 0.103 0.802
0.485 0.804 0.482
0.518 0.515 0.196
0.482 0.485 0.804
0.897 0.198 0.200
0.103 0.802 0.800
0.802 0.800 0.103
0.196 0.518 0.515
0.804 0.482 0.485
0.198 0.200 0.897
0.200 0.897 0.198
0.000 0.000 0.000
0.500 0.500 0.500
0.859 0.470 0.866
0.530 0.134 0.141
0.866 0.859 0.470
0.141 0.530 0.134
0.134 0.141 0.530
0.470 0.866 0.859
```

***

Record 2
Compound: CrNiAsBr2
Source: Alexandria
Functional: PBE
Structure: relaxed

formation energy without anion corrections = 218 kJ/mol of formula units
excess energy over the best structure of this formula in the dataset = 0.0 meV/atom

```
CrNiAsBr2
1.0
5.075 0.000 0.000
0.000 5.075 0.000
0.000 0.000 4.516
Br Ni Cr As
2 1 1 1
Direct
0.000 0.500 0.000
0.500 0.000 0.000
0.000 0.000 0.000
0.500 0.500 0.500
0.000 0.000 0.500
```

***

Record 3
Compound: Ba2Cu2RuO6
Source: Alexandria
Functional: PBE
Structure: relaxed

formation energy without anion corrections = -1552 kJ/mol of formula units

```
Ba2Cu2RuO6
1.0
-5.358 1.233 -2.209
-0.953 -0.360 -5.836
-3.495 -4.787 -2.142
O Ru Ba Cu
6 1 2 2
Direct
0.771 0.225 0.234
0.229 0.229 0.766
0.771 0.771 0.234
0.775 0.229 0.766
0.225 0.771 0.234
0.229 0.775 0.766
0.000 0.000 0.000
0.222 0.222 0.333
0.778 0.778 0.667
0.414 0.414 0.758
0.586 0.586 0.242
```

***

Record 4
Compound: CrGaMoRu
Source: Alexandria
Functional: PBE
Structure: relaxed

final energy = -32.90 eV/cell

```
CrGaMoRu
1.0
4.304 0.000 0.000
2.152 3.728 0.000
2.152 1.243 3.514
Cr Ru Ga Mo
1 1 1 1
Direct
0.000 0.000 0.000
0.500 0.500 0.500
0.250 0.250 0.250
0.750 0.750 0.750
```

***

Record 5
Compound: CaHf2O4
Source: Alexandria
Functional: PBE
Structure: relaxed

formation energy without anion corrections = -2002 kJ/mol of formula units

```
CaHf2O4
1.0
-0.189 3.159 0.793
0.954 -2.767 4.540
10.349 1.011 -1.559
O Ca Hf
8 2 4
Direct
0.763 0.525 0.109
0.237 0.475 0.891
0.050 0.101 0.250
0.237 0.475 0.609
0.950 0.899 0.750
0.500 0.000 0.000
0.763 0.525 0.391
0.500 0.000 0.500
0.381 0.762 0.250
0.619 0.238 0.750
0.877 0.754 0.565
0.123 0.246 0.435
0.877 0.754 0.935
0.123 0.246 0.065
```

***

Record 6
Compound: Cr2CoSe
Source: Alexandria
Functional: PBE
Structure: relaxed

formation energy without anion corrections = 212 kJ/mol of formula units

```
Cr2CoSe
1.0
-3.398 -5.310 -1.866
-1.292 -1.385 6.296
-4.375 -2.006 2.094
Cr Se Co
4 2 2
Direct
0.375 0.385 0.750
0.135 0.625 0.250
0.615 0.125 0.250
0.875 0.865 0.750
0.000 0.000 0.000
0.750 0.250 0.500
0.500 0.500 0.000
0.250 0.750 0.500
```

***

Record 7
Compound: TaFeAg2
Source: Alexandria
Functional: PBE
Structure: relaxed

excess energy over the best structure of this formula in the dataset = 222.5 meV/atom

```
TaFeAg2
1.0
-2.544 3.400 2.241
-4.603 -0.976 -0.956
3.435 -2.877 1.726
Ta Ag Fe
1 2 1
Direct
0.750 0.250 0.500
0.000 0.000 0.000
0.250 0.750 0.500
0.500 0.500 0.000
```

***

Record 8
Compound: BaZn4In12
Source: Alexandria
Functional: PBE
Structure: relaxed

final energy = -39.65 eV/cell

```
BaZn4In12
1.0
-1.170 -6.366 -5.429
-4.411 -1.468 7.054
-2.630 7.217 -3.515
In Zn Ba
12 4 1
Direct
0.161 0.349 0.510
0.839 0.349 0.189
0.510 0.161 0.349
0.349 0.189 0.839
0.161 0.651 0.811
0.651 0.811 0.161
0.811 0.161 0.651
0.189 0.839 0.349
0.651 0.490 0.839
0.839 0.651 0.490
0.349 0.510 0.161
0.490 0.839 0.651
0.500 0.500 0.500
0.000 0.000 0.500
0.500 0.000 0.000
0.000 0.500 0.000
0.000 0.000 0.000
```

***

Record 9
Compound: AsP2SI
Source: Alexandria
Functional: PBE
Structure: relaxed

formation energy without anion corrections = 441 kJ/mol of formula units
excess energy over the best structure of this formula in the dataset = 0.0 meV/atom

```
AsP2SI
1.0
-0.008 -0.839 -4.898
4.961 0.283 -0.056
0.266 -4.518 0.774
As I P S
1 1 2 1
Direct
0.000 0.000 0.000
0.500 0.500 0.500
0.000 0.500 0.000
0.500 0.000 0.000
0.000 0.000 0.500
```

***

Record 10
Compound: PmGeBr2
Source: Alexandria
Functional: PBE
Structure: relaxed

formation energy without anion corrections = -118 kJ/mol of formula units

```
PmGeBr2
1.0
-2.286 1.504 2.504
-2.456 -2.131 1.785
5.362 -2.000 8.845
Br Ge Pm
2 1 1
Direct
0.091 0.091 0.728
0.909 0.909 0.272
0.500 0.500 0.500
0.000 0.000 0.000
```